The following is a GGA+U calculation of a relaxed BaPdWO6 crystal, from the Alexandria database.

```
data_BaPdWO6
_chemical_formula_sum 'Ba1 Pd1 W1 O6'
_space_group_name_H-M_alt 'P 3 1 2'
_space_group_IT_number 149
_cell_length_a 5.3441
_cell_length_b 5.3441
_cell_length_c 5.7956
_cell_angle_alpha 90.00
_cell_angle_beta 90.00
_cell_angle_gamma 120.00
loop_
_space_group_symop_operation_xyz
'x,y,z'
'-y,x-y,z'
'-x+y,-x,z'
'-y,-x,-z'
'-x+y,y,-z'
'x,x-y,-z'
loop_
_atom_site_label
_atom_site_fract_x
_atom_site_fract_y
_atom_site_fract_z
_atom_site_occupancy
Ba1 0.0000 0.0000 0.0000 1
Pd1 0.3333 0.6667 0.5000 1
W1 0.6667 0.3333 0.5000 1
O1 0.3883 0.0116 0.6911 1
```

Electronic total energy, eV/atom: -6.639
Theoretical density, g cm⁻³: 6.1
D(E_F), states/eV/f.u.: 0.000